[1]
Below is a geometry-optimized LaZrNb structure, with properties calculated at the PBE-GGA level.

Output
SG: F-43m, No. 216
Calculated total energy, eV for the cell shown: -21.53
Energy relative to the elements, meV/atom: 677
Magnetic moment, μB per atom: 0.001

a b c (Å): 4.850 4.850 4.850
angles (deg): 60.00 60.00 60.00
Sites, in units of the cell vectors:
Zr: 0.750 0.750 0.750
La: 0.250 0.250 0.250
Nb: 0.000 0.000 0.000

[2]
Below is a geometry-optimized Pa2GaPt3 structure, with properties calculated at the PBE-GGA level.

Output
SG: Fmmm, No. 69
Calculated total energy, eV for the cell shown: -91.71
Magnetic moment, μB per atom: 0.001

a b c (Å): 9.155 8.564 5.594
angles (deg): 77.44 65.94 36.62
Sites, in units of the cell vectors:
Pt: 0.177 0.650 0.350
Pt: 0.650 0.177 0.823
Pt: 0.350 0.823 0.177
Pt: 0.827 0.827 0.173
Pt: 0.823 0.350 0.650
Pt: 0.173 0.173 0.827
Ga: 0.666 0.666 0.334
Ga: 0.334 0.334 0.666
Pa: 0.228 0.772 0.772
Pa: 0.250 0.250 0.250
Pa: 0.750 0.750 0.750
Pa: 0.772 0.228 0.228

[3]
Below is a geometry-optimized BeFe3W2 structure, with properties calculated at the PBE-GGA level.

Output
SG: P6_3/mmc, No. 194
Calculated total energy, eV for the cell shown: -110.42
Magnetic moment, μB per atom: 0.845

a b c (Å): 4.673 4.673 7.516
angles (deg): 90.00 90.00 120.00
Each line ends with the local moment (μB).
Sites, in units of the cell vectors:
Fe: 0.168 0.832 0.750  1.68
Fe: 0.832 0.168 0.250  1.68
Fe: 0.832 0.665 0.250  1.62
Fe: 0.168 0.335 0.750  1.62
Fe: 0.665 0.832 0.750  1.56
Fe: 0.335 0.168 0.250  1.56
W: 0.667 0.333 0.937  0.08
W: 0.667 0.333 0.563  0.08
W: 0.333 0.667 0.063  0.08
W: 0.333 0.667 0.437  0.08
Be: 0.000 0.000 0.500  -0.05
Be: 0.000 0.000 0.000  -0.04

[4]
Below is a geometry-optimized ErNi4Ge3 structure, with properties calculated at the PBE-GGA level.

Output
SG: Pm, No. 6
Calculated total energy, eV for the cell shown: -43.97
Magnetic moment, μB per atom: 0.000

a b c (Å): 5.080 3.973 5.882
angles (deg): 90.00 97.57 90.00
Sites, in units of the cell vectors:
Ni: 0.392 0.000 0.972
Ni: 0.122 0.000 0.579
Ni: 0.714 0.500 0.962
Ni: 0.825 0.500 0.505
Ge: 0.161 0.500 0.825
Ge: 0.844 0.000 0.200
Ge: 0.624 0.000 0.647
Er: 0.317 0.500 0.310

[5]
Below is a geometry-optimized HoAuSeO structure, with properties calculated at the PBE-GGA level.

Output
SG: P2_1/c, No. 14
Calculated total energy, eV for the cell shown: -92.00
Polymorph energy (0 for the lowest one), meV per atom: 241
Magnetic moment, μB per atom: 0.000

a b c (Å): 7.343 6.203 6.139
angles (deg): 90.00 90.04 90.00
Sites, in units of the cell vectors:
Au: 0.921 0.292 0.989
Au: 0.921 0.208 0.489
Au: 0.079 0.708 0.011
Au: 0.079 0.792 0.511
Se: 0.196 0.042 0.803
Se: 0.196 0.458 0.303
Se: 0.804 0.542 0.697
Se: 0.804 0.958 0.197
O: 0.502 0.760 0.500
O: 0.498 0.240 0.500
O: 0.498 0.260 0.000
O: 0.502 0.740 0.000
Ho: 0.602 0.494 0.251
Ho: 0.398 0.506 0.749
Ho: 0.602 0.006 0.751
Ho: 0.398 0.994 0.249

[6]
Below is a geometry-optimized Tb2Sm2C3 structure, with properties calculated at the PBE-GGA level.

Output
SG: C2/m, No. 12
Calculated total energy, eV for the cell shown: -47.24
Magnetic moment, μB per atom: 0.000

a b c (Å): 6.905 6.905 6.156
angles (deg): 114.17 114.17 31.72
Sites, in units of the cell vectors:
Tb: 0.133 0.133 0.945
Tb: 0.867 0.867 0.055
Sm: 0.635 0.635 0.492
Sm: 0.365 0.365 0.508
C: 0.000 0.000 0.500
C: 0.278 0.278 0.798
C: 0.722 0.722 0.202

[7]
Below is a geometry-optimized Cu7Ag3 structure, with properties calculated at the PBE-GGA level.

Output
SG: P-1, No. 2
Calculated total energy, eV for the cell shown: -33.49
Energy relative to the elements, meV/atom: 100
Polymorph energy (0 for the lowest one), meV per atom: 55

a b c (Å): 4.620 4.691 7.116
angles (deg): 102.55 108.37 99.77
Sites, in units of the cell vectors:
Cu: 0.891 0.684 0.902
Cu: 0.500 0.500 0.500
Cu: 0.109 0.316 0.098
Cu: 0.707 0.118 0.706
Cu: 0.306 0.404 0.806
Cu: 0.694 0.596 0.194
Cu: 0.293 0.882 0.294
Ag: 0.500 0.000 0.000
Ag: 0.098 0.801 0.602
Ag: 0.902 0.199 0.398

[8]
Below is a geometry-optimized TmLuNO structure, with properties calculated at the PBE-GGA level.

Output
SG: P4/mmm, No. 123
Calculated total energy, eV for the cell shown: -63.70
Polymorph energy (0 for the lowest one), meV per atom: 0
Magnetic moment, μB per atom: 0.000

a b c (Å): 4.714 4.714 4.690
angles (deg): 90.00 90.00 90.00
Sites, in units of the cell vectors:
O: 0.250 0.750 0.000
O: 0.750 0.250 0.000
Tm: 0.250 0.750 0.500
Tm: 0.750 0.250 0.500
Lu: 0.250 0.250 0.000
Lu: 0.750 0.750 0.000
N: 0.250 0.250 0.500
N: 0.750 0.750 0.500

[9]
Below is a geometry-optimized LiPaB structure, with properties calculated at the PBE-GGA level.

Output
SG: F-43m, No. 216
Calculated total energy, eV for the cell shown: -17.44
Polymorph energy (0 for the lowest one), meV per atom: 0
Magnetic moment, μB per atom: 0.329

a b c (Å): 4.164 4.164 4.164
angles (deg): 60.00 60.00 60.00
Each line ends with the local moment (μB).
Sites, in units of the cell vectors:
Pa: 0.750 0.750 0.750  0.62
Li: 0.250 0.250 0.250  0.03
B: 0.000 0.000 0.000  -0.02

[10]
Below is a geometry-optimized ScB4Pt structure, with properties calculated at the PBE-GGA level.

Output
SG: Pbam, No. 55
Calculated total energy, eV for the cell shown: -166.85
Polymorph energy (0 for the lowest one), meV per atom: 0
Magnetic moment, μB per atom: 0.000

a b c (Å): 5.975 11.452 3.485
angles (deg): 90.00 90.00 90.00
Sites, in units of the cell vectors:
Sc: 0.376 0.860 0.000
Sc: 0.124 0.360 0.000
Sc: 0.876 0.640 0.000
Sc: 0.624 0.140 0.000
B: 0.813 0.316 0.500
B: 0.879 0.046 0.500
B: 0.313 0.184 0.500
B: 0.628 0.967 0.500
B: 0.621 0.546 0.500
B: 0.046 0.809 0.500
B: 0.128 0.533 0.500
B: 0.454 0.309 0.500
B: 0.687 0.816 0.500
B: 0.546 0.691 0.500
B: 0.187 0.684 0.500
B: 0.379 0.454 0.500
B: 0.954 0.191 0.500
B: 0.372 0.033 0.500
B: 0.121 0.954 0.500
B: 0.872 0.467 0.500
Pt: 0.132 0.108 0.000
Pt: 0.368 0.608 0.000
Pt: 0.868 0.892 0.000
Pt: 0.632 0.392 0.000

[11]
Below is a geometry-optimized BaSmDy structure, with properties calculated at the PBE-GGA level.

Output
SG: F-43m, No. 216
Calculated total energy, eV for the cell shown: -8.77
Magnetic moment, μB per atom: 0.007

a b c (Å): 5.821 5.821 5.821
angles (deg): 60.00 60.00 60.00
Sites, in units of the cell vectors:
Ba: 0.250 0.250 0.250
Dy: 0.750 0.750 0.750
Sm: 0.000 0.000 0.000

[12]
Below is a geometry-optimized YTmS2 structure, with properties calculated at the PBE-GGA level.

Output
SG: P4/mmm, No. 123
Calculated total energy, eV for the cell shown: -27.02
Polymorph energy (0 for the lowest one), meV per atom: 6
Magnetic moment, μB per atom: 0.000

a b c (Å): 3.875 3.875 5.482
angles (deg): 90.00 90.00 90.00
Sites, in units of the cell vectors:
Tm: 0.500 0.500 0.500
Y: 0.000 0.000 0.000
S: 0.000 0.000 0.500
S: 0.500 0.500 0.000

[13]
Below is a geometry-optimized ReAsW2 structure, with properties calculated at the PBE-GGA level.

Output
SG: F-43m, No. 216
Calculated total energy, eV for the cell shown: -41.05
Magnetic moment, μB per atom: 0.001

a b c (Å): 4.463 4.463 4.463
angles (deg): 60.00 60.00 60.00
Sites, in units of the cell vectors:
As: 0.500 0.500 0.500
W: 0.750 0.750 0.750
W: 0.000 0.000 0.000
Re: 0.250 0.250 0.250

[14]
Below is a geometry-optimized Cu9Au5 structure, with properties calculated at the PBE-GGA level.

Output
SG: R-3m, No. 166
Calculated total energy, eV for the cell shown: -49.03
Energy relative to the elements, meV/atom: 54

a b c (Å): 10.333 10.333 10.333
angles (deg): 27.03 27.03 27.03
Sites, in units of the cell vectors:
Cu: 0.237 0.237 0.733
Cu: 0.862 0.862 0.862
Cu: 0.267 0.763 0.763
Cu: 0.763 0.267 0.763
Cu: 0.237 0.733 0.237
Cu: 0.733 0.237 0.237
Cu: 0.138 0.138 0.138
Cu: 0.000 0.000 0.000
Cu: 0.763 0.763 0.267
Au: 0.680 0.680 0.680
Au: 0.778 0.778 0.778
Au: 0.222 0.222 0.222
Au: 0.500 0.500 0.500
Au: 0.320 0.320 0.320

[15]
Below is a geometry-optimized YCdAgPd structure, with properties calculated at the PBE-GGA level.

Output
SG: F-43m, No. 216
Calculated total energy, eV for the cell shown: -16.96
Energy relative to the elements, meV/atom: -401
Polymorph energy (0 for the lowest one), meV per atom: 108
Magnetic moment, μB per atom: 0.000

a b c (Å): 4.886 4.886 4.886
angles (deg): 60.00 60.00 60.00
Sites, in units of the cell vectors:
Pd: 0.000 0.000 0.000
Ag: 0.250 0.250 0.250
Y: 0.750 0.750 0.750
Cd: 0.500 0.500 0.500

[16]
Below is a geometry-optimized TaGa2Sn2 structure, with properties calculated at the PBE-GGA level.

Output
SG: I4/mmm, No. 139
Calculated total energy, eV for the cell shown: -22.62
Magnetic moment, μB per atom: 0.001

a b c (Å): 7.693 7.693 7.693
angles (deg): 150.29 150.29 42.52
Sites, in units of the cell vectors:
Ga: 0.416 0.416 0.000
Ga: 0.584 0.584 0.000
Ta: 0.000 0.000 0.000
Sn: 0.250 0.750 0.500
Sn: 0.750 0.250 0.500

[17]
Below is a geometry-optimized HgAsNO structure, with properties calculated at the PBE-GGA level.

Output
SG: Pca2_1, No. 29
Calculated total energy, eV for the cell shown: -71.29
Polymorph energy (0 for the lowest one), meV per atom: 49

a b c (Å): 6.811 6.704 5.416
angles (deg): 90.00 90.00 90.00
Sites, in units of the cell vectors:
As: 0.104 0.136 0.951
As: 0.604 0.864 0.951
As: 0.896 0.864 0.451
As: 0.396 0.136 0.451
O: 0.551 0.352 0.562
O: 0.449 0.648 0.062
O: 0.051 0.648 0.562
O: 0.949 0.352 0.062
Hg: 0.420 0.656 0.496
Hg: 0.080 0.656 0.996
Hg: 0.580 0.344 0.996
Hg: 0.920 0.344 0.496
N: 0.929 0.064 0.694
N: 0.429 0.936 0.694
N: 0.071 0.936 0.194
N: 0.571 0.064 0.194

[18]
Below is a geometry-optimized LiGa2Ir structure, with properties calculated at the PBE-GGA level.

Output
SG: P4/mmm, No. 123
Calculated total energy, eV for the cell shown: -18.14
Polymorph energy (0 for the lowest one), meV per atom: 166
Magnetic moment, μB per atom: 0.001

a b c (Å): 2.904 2.904 7.463
angles (deg): 90.00 90.00 90.00
Sites, in units of the cell vectors:
Ga: 0.500 0.500 0.275
Ga: 0.500 0.500 0.725
Li: 0.000 0.000 0.000
Ir: 0.000 0.000 0.500

[19]
Below is a geometry-optimized RbHoO2 structure, with properties calculated at the PBE-GGA level.

Output
SG: Pbcm, No. 57
Calculated total energy, eV for the cell shown: -103.19
Magnetic moment, μB per atom: 0.000

a b c (Å): 7.143 7.029 6.471
angles (deg): 90.00 90.00 90.00
Sites, in units of the cell vectors:
O: 0.082 0.634 0.250
O: 0.685 0.750 0.500
O: 0.315 0.250 0.500
O: 0.315 0.250 0.000
O: 0.082 0.866 0.750
O: 0.918 0.366 0.750
O: 0.918 0.134 0.250
O: 0.685 0.750 0.000
Rb: 0.370 0.895 0.250
Rb: 0.630 0.105 0.750
Rb: 0.630 0.395 0.250
Rb: 0.370 0.605 0.750
Ho: 0.862 0.664 0.750
Ho: 0.138 0.164 0.750
Ho: 0.862 0.836 0.250
Ho: 0.138 0.336 0.250

[20]
Below is a geometry-optimized Cs2H5Au structure, with properties calculated at the PBE-GGA level.

Output
SG: I4mm, No. 107
Calculated total energy, eV for the cell shown: -23.04

a b c (Å): 6.368 6.368 6.368
angles (deg): 122.01 122.01 86.56
Sites, in units of the cell vectors:
H: 0.815 0.193 0.000
H: 0.193 0.193 0.378
H: 0.815 0.815 0.622
H: 0.777 0.777 0.000
H: 0.193 0.815 0.000
Cs: 0.249 0.749 0.500
Cs: 0.749 0.249 0.500
Au: 0.988 0.988 0.000

[21]
Below is a geometry-optimized DyU2 structure, with properties calculated at the PBE-GGA level.

Output
SG: Fd-3m, No. 227
Calculated total energy, eV for the cell shown: -33.76
Energy relative to the elements, meV/atom: 3438
Magnetic moment, μB per atom: 1.026

a b c (Å): 8.328 8.328 8.328
angles (deg): 60.00 60.00 60.00
Each line ends with the local moment (μB).
Sites, in units of the cell vectors:
Dy: 0.500 0.500 0.500  -0.17
Dy: 0.250 0.250 0.250  -0.17
U: 0.375 0.375 0.375  1.34
U: 0.375 0.375 0.875  1.28
U: 0.875 0.375 0.375  1.68
U: 0.375 0.875 0.375  1.36

[22]
Below is a geometry-optimized RbMgCoTe3 structure, with properties calculated at the PBE-GGA level.

Output
SG: P2_1/m, No. 11
Calculated total energy, eV for the cell shown: -44.37
Magnetic moment, μB per atom: 0.001

a b c (Å): 9.001 4.086 10.831
angles (deg): 90.00 113.57 90.00
Sites, in units of the cell vectors:
Te: 0.370 0.750 0.381
Te: 0.252 0.250 0.613
Te: 0.312 0.250 0.064
Te: 0.748 0.750 0.387
Te: 0.688 0.750 0.936
Te: 0.630 0.250 0.619
Rb: 0.985 0.250 0.237
Rb: 0.015 0.750 0.763
Co: 0.460 0.750 0.634
Co: 0.540 0.250 0.366
Mg: 0.463 0.250 0.873
Mg: 0.537 0.750 0.127

[23]
Below is a geometry-optimized GaRe2Ni structure, with properties calculated at the PBE-GGA level.

Output
SG: Amm2, No. 38
Calculated total energy, eV for the cell shown: -66.59
Magnetic moment, μB per atom: 0.001

a b c (Å): 4.356 5.365 5.365
angles (deg): 61.22 90.00 90.00
Sites, in units of the cell vectors:
Re: 0.000 0.162 0.162
Re: 0.500 0.332 0.834
Re: 0.500 0.834 0.332
Re: 0.500 0.839 0.839
Ga: 0.000 0.173 0.648
Ga: 0.000 0.648 0.173
Ni: 0.500 0.333 0.333
Ni: 0.000 0.679 0.679

[24]
Below is a geometry-optimized NdReHg structure, with properties calculated at the PBE-GGA level.

Output
SG: F-43m, No. 216
Calculated total energy, eV for the cell shown: -13.56
Energy relative to the elements, meV/atom: 1309
Magnetic moment, μB per atom: 0.667

a b c (Å): 4.923 4.923 4.923
angles (deg): 60.00 60.00 60.00
Each line ends with the local moment (μB).
Sites, in units of the cell vectors:
Hg: 0.250 0.250 0.250  -0.03
Nd: 0.000 0.000 0.000  -0.04
Re: 0.750 0.750 0.750  1.96